Below is a relaxed AgSbP2 crystal, with properties calculated at the GGA-PBE level.

Lattice parameters (Å, degrees): 9.7798 3.2200 7.2416 90.00 129.96 90.00
Space group Cm (No. 8)
Symmetry-distinct sites (fractional):
Ag: 0.0000 0.0000 0.0000
Sb: 0.2545 0.0000 0.5559
P: 0.2850 0.5000 0.1022
P: 0.4200 0.0000 0.3788

Summary:
Calculated volume   21.85 Å³/atom
Uncorrected formation energy   0.1757 eV per atom
Final energy   -0.314 Ry per atom